Record 1
A plane-wave DFT calculation with GGA-PBE was carried out for Ca2Mg2Os after structural relaxation.

Cell: 3.999 3.999 14.985 Å, 90.00 90.00 90.00°
Space group I4/mmm (No. 139)
One atom of each set of equivalent atoms:
Ca  0.000  0.500  0.250 [4 per cell]
Mg  0.000  0.000  0.084 [4 per cell]
Os  0.000  0.000  0.500 [2 per cell]

Energy in eV per atom: -2.5766

=====

Record 2
A plane-wave DFT calculation with GGA-PBE was carried out for PrSm4Sc after structural relaxation.

Cell: 6.201 10.771 6.187 Å, 90.00 109.58 90.00°
Space group C2/m (No. 12)
One atom of each set of equivalent atoms:
Pr  0.000  0.000  0.000 [2 per cell]
Sm  0.000  0.167  0.500 [4 per cell]
Sm  0.000  0.337  0.000 [4 per cell]
Sc  0.000  0.500  0.500 [2 per cell]

Energy in eV per atom: -4.9608

=====

Record 3
A plane-wave DFT calculation with GGA-PBE was carried out for NaSb2I8 after structural relaxation.

Cell: 14.744 11.834 7.504 Å, 90.00 99.91 90.00°
Space group C2/m (No. 12)
One atom of each set of equivalent atoms:
Na  0.000  0.000  0.000 [2 per cell]
Sb  0.208  0.000  0.682 [4 per cell]
I  0.103  0.185  0.780 [8 per cell]
I  0.104  0.500  0.116 [4 per cell]
I  0.197  0.000  0.297 [4 per cell]

Energy in eV per atom: -2.3610

=====

- Which value of energy does entry 1 give?
  -2.5766 eV per atom

=====

- What is the energy in the second record?
  -4.9608 eV per atom

=====

- Among the records above, which one has the highest energy?
  NaSb2I8

=====

- The highest energy belongs to which entry?
  NaSb2I8